# 1
Compound: RbYF2
Source: Alexandria
Functional: PBE-GGA
Structure: relaxed

Properties
Formation energy without anion corrections = -152.74 kJ per mole of atoms
V = 78.20 Å³ per cell
Magnetization = 0.448 μB per atom
Distance to the lowest polymorph of the same formula = 1.020 eV/atom
E = -4.38 eV/atom
Space group = Fm-3m (225)

a b c (Å): 4.8000 4.8000 4.8000
angles (deg): 60.00 60.00 60.00
Sites, in units of the cell vectors:
Y: 0.5000 0.5000 0.5000
Rb: 0.0000 0.0000 0.0000
F: 0.2500 0.2500 0.2500
F: 0.7500 0.7500 0.7500


# 2
Compound: Rb2YZrF6
Source: Alexandria
Functional: PBE-GGA
Structure: relaxed

Properties
Formation energy without anion corrections = -274.03 kJ per mole of atoms
V = 194.41 Å³ per cell
Magnetization = 0.264 μB per atom
E = -5.66 eV/atom
Space group = I4/mmm (139)

a b c (Å): 6.5050 6.5050 6.5012
angles (deg): 59.98 59.98 90.00
Sites, in units of the cell vectors:
Y: 0.5000 0.5000 0.0000
Rb: 0.7500 0.2500 0.5000
Rb: 0.2500 0.7500 0.5000
Zr: 0.0000 0.0000 0.0000
F: 0.2593 0.2593 0.4814
F: 0.7407 0.7407 0.5186
F: 0.2596 0.2596 0.0000
F: 0.7404 0.7404 0.0000
F: 0.7404 0.2596 0.0000
F: 0.2596 0.7404 0.0000


# 3
Compound: Rb3YbF6
Source: Alexandria
Functional: PBE-GGA
Structure: relaxed

Properties
Formation energy without anion corrections = -272.79 kJ per mole of atoms
V = 216.82 Å³ per cell
Magnetization = 0.100 μB per atom
E = -4.39 eV/atom
Space group = Fm-3m (225)

a b c (Å): 6.7433 6.7433 6.7433
angles (deg): 60.00 60.00 60.00
Sites, in units of the cell vectors:
Yb: 0.0000 0.0000 0.0000
Rb: 0.7500 0.7500 0.7500
Rb: 0.2500 0.2500 0.2500
Rb: 0.5000 0.5000 0.5000
F: 0.2281 0.7719 0.7719
F: 0.7719 0.2281 0.7719
F: 0.2281 0.7719 0.2281
F: 0.7719 0.7719 0.2281
F: 0.7719 0.2281 0.2281
F: 0.2281 0.2281 0.7719


# 4
Compound: Rb2Zn2F7
Source: Alexandria
Functional: PBE-GGA
Structure: relaxed

Properties
Formation energy without anion corrections = -220.50 kJ per mole of atoms
V = 192.42 Å³ per cell
Magnetization = 0.000 μB per atom
Distance to the lowest polymorph of the same formula = 0.000 eV/atom
E = -3.88 eV/atom
Space group = C2/m (12)

a b c (Å): 3.8234 7.4782 7.4782
angles (deg): 115.85 90.02 90.02
Sites, in units of the cell vectors:
Rb: 0.5000 0.7545 0.2455
Rb: 0.5000 0.2455 0.7545
Zn: 0.0022 0.2500 0.2500
Zn: 0.9978 0.7500 0.7500
F: 0.0023 0.4210 0.1222
F: 0.9977 0.8778 0.5790
F: 0.9977 0.5790 0.8778
F: 0.0023 0.1222 0.4210
F: 0.4977 0.6858 0.6858
F: 0.0000 0.0000 0.0000
F: 0.5023 0.3142 0.3142


> Which formula does entry 4 have?

Rb2Zn2F7


> Which of these has the lowest E?

Rb2YZrF6